Entry from Alexandria: crystalline FePtI2N at its relaxed geometry (GGA-PBE).

## Properties
* E: -22.6 eV/f.u.
* offset from the most stable computed form: 0.0000 eV per atom
* mass density: 8.9 Mg/m³
* formation energy (no corrections): 0.664 eV/atom
* crystal system: tetragonal
* DOS(E_F): 3.53 states/eV/f.u.

a = 5.302 Å, b = 5.302 Å, c = 3.425 Å
α = 90.00°, β = 90.00°, γ = 90.00°
Space group P4/mmm (No. 123)
One atom of each set of equivalent atoms:
1 Fe 0.000 0.000 0.000 x1
2 Pt 0.500 0.500 0.500 x1
3 I 0.000 0.500 0.000 x2
4 N 0.000 0.000 0.500 x1

Entry from Alexandria: crystalline Ce3TlS at its relaxed geometry (GGA-PBE).

## Properties
* E: -27.9 eV/f.u.
* mass density: 7.3 Mg/m³
* formation energy (no corrections): -0.721 eV/atom
* crystal system: cubic
* DOS(E_F): 14.56 states/eV/f.u.

a = 5.295 Å, b = 5.295 Å, c = 5.295 Å
α = 90.00°, β = 90.00°, γ = 90.00°
Space group Pm-3m (No. 221)
One atom of each set of equivalent atoms:
1 Ce 0.000 0.000 0.500 x3
2 Tl 0.500 0.500 0.500 x1
3 S 0.000 0.000 0.000 x1

Entry from Alexandria: crystalline Pm12Ho3Te5 at its relaxed geometry (GGA-PBE).

## Properties
* E: -88.9 eV/f.u.
* mass density: 5.9 Mg/m³
* formation energy (no corrections): -0.124 eV/atom
* crystal system: cubic
* DOS(E_F): 27.72 states/eV/f.u.

a = 18.641 Å, b = 18.641 Å, c = 18.641 Å
α = 90.00°, β = 90.00°, γ = 90.00°
Space group Ia-3d (No. 230)
One atom of each set of equivalent atoms:
1 Pm 0.024 0.076 0.647 x96
2 Ho 0.000 0.250 0.125 x24
3 Te 0.000 0.000 0.000 x16
4 Te 0.000 0.250 0.375 x24